DFT (PBE-GGA) results for a relaxed structure of Sm2Tm3Pb3.

Cell: 4.4404 4.8735 11.1216 Å, 102.66 101.52 90.00°
Fractional positions:
Sm  0.7447  0.2447  0.4894
Sm  0.2553  0.7553  0.5106
Tm  0.6206  0.6206  0.2412
Tm  0.3794  0.3794  0.7588
Tm  0.5000  0.0000  0.0000
Pb  0.1277  0.1277  0.2553
Pb  0.0000  0.5000  0.0000
Pb  0.8723  0.8723  0.7447

DFT (PBE-GGA) results for a relaxed structure of SmTmPb.

Cell: 4.5911 4.5908 8.6489 Å, 90.00 90.00 90.00°
Fractional positions:
Sm  0.7499  0.2500  0.8427
Sm  0.2501  0.7500  0.1573
Tm  0.2500  0.2500  0.4999
Tm  0.7500  0.7500  0.5001
Pb  0.7501  0.2500  0.2224
Pb  0.2499  0.7500  0.7776

no.,raw total energy (eV/atom),energy relative to the elements (eV/atom),total moment (μB per atom)
1,-4.581,-0.33,0.000
2,-4.732,-0.43,0.000